w:
An optimized crystal structure of CsLaGa2. Source: Alexandria via LeMat-Bulk, functional PBE.

abc: 5.6590 5.6590 5.6590
angles: 60.00 60.00 60.00
Fractional positions:
Cs  0.0000  0.0000  0.0000
Ga  0.2500  0.2500  0.2500
Ga  0.7500  0.7500  0.7500
La  0.5000  0.5000  0.5000

Output
Magnetic moment: 0.000 μB/f.u.
Mass density: 5.33 g/cm3


x:
An optimized crystal structure of CsLaGa2. Source: Alexandria via LeMat-Bulk, functional PBE.

abc: 5.5297 5.5297 11.6148
angles: 76.23 76.23 90.00
Fractional positions:
Cs  0.5000  0.5000  0.0000
Cs  0.2500  0.7500  0.5000
Ga  0.8746  0.1250  0.2500
Ga  0.8754  0.6250  0.2500
Ga  0.3750  0.1254  0.7500
Ga  0.8750  0.1246  0.7500
La  0.0000  0.0000  0.0000
La  0.7500  0.2500  0.5000

Output
Magnetic moment: 0.000 μB/f.u.
Mass density: 4.08 g/cm3


Most stable of them? w.


w:
An optimized crystal structure of CsLi3Ga. Source: Alexandria via LeMat-Bulk, functional PBE.

abc: 5.5348 5.5348 5.5348
angles: 90.00 90.00 90.00
Fractional positions:
Cs  0.0000  0.0000  0.0000
Ga  0.5000  0.5000  0.5000
Li  0.0000  0.5000  0.0000
Li  0.0000  0.0000  0.5000
Li  0.5000  0.0000  0.0000

Output
Magnetic moment: 0.000 μB/f.u.
Mass density: 2.19 g/cm3


x:
An optimized crystal structure of CsLi3Ga. Source: Alexandria via LeMat-Bulk, functional PBE.

abc: 5.3735 5.3735 5.3735
angles: 90.00 90.00 90.00
Last column: magnetic moment on the atom in μB.
Fractional positions:
Cs  0.5000  0.5000  0.5000  0.01
Ga  0.0000  0.0000  0.0000  0.18
Li  0.0000  0.5000  0.0000  0.01
Li  0.0000  0.0000  0.5000  0.03
Li  0.5000  0.0000  0.0000  0.00

Output
Magnetic moment: 0.825 μB/f.u.
Mass density: 2.39 g/cm3


Most stable of them? x.


w:
An optimized crystal structure of Cs2MgGa. Source: Alexandria via LeMat-Bulk, functional PBE.

abc: 6.5228 6.5228 6.5228
angles: 60.00 60.00 60.00
Last column: magnetic moment on the atom in μB.
Fractional positions:
Cs  0.2500  0.2500  0.2500  0.06
Cs  0.7500  0.7500  0.7500  0.06
Mg  0.0000  0.0000  0.0000  0.02
Ga  0.5000  0.5000  0.5000  0.32

Output
Magnetic moment: 1.981 μB/f.u.
Mass density: 3.04 g/cm3


x:
An optimized crystal structure of Cs2MgGa. Source: Alexandria via LeMat-Bulk, functional PBE.

abc: 10.4426 10.4426 10.4426
angles: 93.62 93.62 150.90
Fractional positions:
Cs  0.6250  0.9430  0.8180
Cs  0.1250  0.8070  0.1820
Cs  0.0570  0.8750  0.6820
Cs  0.1930  0.3750  0.3180
Mg  0.5000  0.5000  0.0000
Mg  0.7500  0.2500  0.5000
Ga  0.0000  0.0000  0.0000
Ga  0.2500  0.7500  0.5000

Output
Magnetic moment: 0.000 μB/f.u.
Mass density: 2.23 g/cm3


Most stable of them? x.


w:
An optimized crystal structure of CsMn3Ga. Source: Alexandria via LeMat-Bulk, functional PBE.

abc: 5.0856 5.0856 5.0856
angles: 90.00 90.00 90.00
Last column: magnetic moment on the atom in μB.
Fractional positions:
Cs  0.0000  0.0000  0.0000  -0.08
Mn  0.0000  0.5000  0.0000  3.59
Mn  0.0000  0.0000  0.5000  3.25
Mn  0.5000  0.0000  0.0000  3.85
Ga  0.5000  0.5000  0.5000  -0.04

Output
Magnetic moment: 10.787 μB/f.u.
Mass density: 4.64 g/cm3


x:
An optimized crystal structure of CsMn3Ga. Source: Alexandria via LeMat-Bulk, functional PBE.

abc: 5.0935 5.0935 5.0935
angles: 90.00 90.00 90.00
Last column: magnetic moment on the atom in μB.
Fractional positions:
Cs  0.5000  0.5000  0.5000  0.03
Mn  0.0000  0.5000  0.0000  4.02
Mn  0.0000  0.0000  0.5000  4.02
Mn  0.5000  0.0000  0.0000  4.02
Ga  0.0000  0.0000  0.0000  -0.08

Output
Magnetic moment: 12.799 μB/f.u.
Mass density: 4.62 g/cm3


Most stable of them? x.


w:
An optimized crystal structure of CsGaMo3. Source: Alexandria via LeMat-Bulk, functional PBE.

abc: 4.9931 4.9931 4.9931
angles: 90.00 90.00 90.00
Last column: magnetic moment on the atom in μB.
Fractional positions:
Cs  0.5000  0.5000  0.5000  0.15
Mo  0.0000  0.5000  0.0000  2.05
Mo  0.0000  0.0000  0.5000  2.06
Mo  0.5000  0.0000  0.0000  1.73
Ga  0.0000  0.0000  0.0000  0.03

Output
Magnetic moment: 7.261 μB/f.u.
Mass density: 6.54 g/cm3


x:
An optimized crystal structure of CsGaMo3. Source: Alexandria via LeMat-Bulk, functional PBE.

abc: 4.9353 4.9353 4.9353
angles: 90.00 90.00 90.00
Last column: magnetic moment on the atom in μB.
Fractional positions:
Cs  0.0000  0.0000  0.0000  -0.03
Mo  0.0000  0.5000  0.0000  0.57
Mo  0.0000  0.0000  0.5000  0.69
Mo  0.5000  0.0000  0.0000  0.71
Ga  0.5000  0.5000  0.5000  -0.01

Output
Magnetic moment: 2.176 μB/f.u.
Mass density: 6.78 g/cm3


Most stable of them? w.


w:
An optimized crystal structure of CsNa3Ga. Source: Alexandria via LeMat-Bulk, functional PBE.

abc: 6.7891 6.7891 6.7891
angles: 90.00 90.00 90.00
Fractional positions:
Cs  0.0000  0.0000  0.0000
Na  0.0000  0.5000  0.0000
Na  0.0000  0.0000  0.5000
Na  0.5000  0.0000  0.0000
Ga  0.5000  0.5000  0.5000

Output
Magnetic moment: 0.000 μB/f.u.
Mass density: 1.44 g/cm3


x:
An optimized crystal structure of CsNa3Ga. Source: Alexandria via LeMat-Bulk, functional PBE.

abc: 6.0153 6.0153 6.0153
angles: 90.00 90.00 90.00
Fractional positions:
Cs  0.5000  0.5000  0.5000
Na  0.0000  0.5000  0.0000
Na  0.0000  0.0000  0.5000
Na  0.5000  0.0000  0.0000
Ga  0.0000  0.0000  0.0000

Output
Magnetic moment: 0.000 μB/f.u.
Mass density: 2.07 g/cm3


Most stable of them? x.


w:
An optimized crystal structure of CsNa2GaSn. Source: Alexandria via LeMat-Bulk, functional PBE.

abc: 6.0383 6.0383 5.6359
angles: 90.00 90.00 90.00
Fractional positions:
Cs  0.5000  0.5000  0.5000
Na  0.0000  0.5000  0.0000
Na  0.5000  0.0000  0.0000
Sn  0.0000  0.0000  0.0000
Ga  0.0000  0.0000  0.5000

Output
Magnetic moment: 0.000 μB/f.u.
Mass density: 2.97 g/cm3


x:
An optimized crystal structure of CsNa2GaSn. Source: Alexandria via LeMat-Bulk, functional PBE.

abc: 5.8814 5.8814 5.5569
angles: 90.00 90.00 90.00
Fractional positions:
Cs  0.5000  0.5000  0.5000
Na  0.0000  0.5000  0.0000
Na  0.5000  0.0000  0.0000
Sn  0.0000  0.0000  0.5000
Ga  0.0000  0.0000  0.0000

Output
Magnetic moment: 0.000 μB/f.u.
Mass density: 3.17 g/cm3


Most stable of them? x.


w:
An optimized crystal structure of CsNa2TlGa. Source: Alexandria via LeMat-Bulk, functional PBE.

abc: 6.0931 6.0931 5.6350
angles: 90.00 90.00 90.00
Fractional positions:
Cs  0.5000  0.5000  0.5000
Na  0.0000  0.5000  0.0000
Na  0.5000  0.0000  0.0000
Tl  0.0000  0.0000  0.0000
Ga  0.0000  0.0000  0.5000

Output
Magnetic moment: 0.000 μB/f.u.
Mass density: 3.60 g/cm3


x:
An optimized crystal structure of CsNa2TlGa. Source: Alexandria via LeMat-Bulk, functional PBE.

abc: 5.9626 5.9626 5.6902
angles: 90.00 90.00 90.00
Fractional positions:
Cs  0.5000  0.5000  0.5000
Na  0.0000  0.5000  0.0000
Na  0.5000  0.0000  0.0000
Tl  0.0000  0.0000  0.5000
Ga  0.0000  0.0000  0.0000

Output
Magnetic moment: 0.000 μB/f.u.
Mass density: 3.72 g/cm3


Most stable of them? x.